VASP calculation (PBE) on Pm8MgGa2 after structural relaxation.

a b c (Å): 4.9513 8.0422 9.1457
angles (deg): 108.91 105.71 90.00
Closest atoms and distances in Å follow each position.
Fractional coordinates of all 11 atoms:
Pm (0.6773, 0.9468, 0.3547)  1 Ga 3.04, 1 Mg 3.29
Pm (0.4015, 0.5374, 0.8030)  2 Ga 3.25, 6 Pm 3.45-3.63, 1 Mg 3.54
Pm (0.8238, 0.7331, 0.6476)  3 Ga 3.11-3.12, 2 Pm 3.45
Pm (0.1762, 0.2669, 0.3524)  3 Ga 3.11-3.12, 2 Pm 3.45
Pm (0.5985, 0.4626, 0.1970)  2 Ga 3.25, 6 Pm 3.45-3.63, 1 Mg 3.54
Pm (0.9538, 0.2640, 0.9077)  1 Ga 3.09, 2 Pm 3.42
Mg (0.5000, 0.0000, 0.0000)  8 Pm 3.29-3.54
Ga (0.2097, 0.6721, 0.4193)  7 Pm 3.04-3.25
Ga (0.7903, 0.3279, 0.5807)  7 Pm 3.04-3.25
Pm (0.3227, 0.0532, 0.6453)  1 Ga 3.04, 1 Mg 3.29
Pm (0.0462, 0.7360, 0.0923)  1 Ga 3.09, 2 Pm 3.42

## Properties
Formation enthalpy at 0 K, meV per atom: -193
Energy, eV per atom: -4.343


VASP calculation (PBE) on BaZn9Pd2 after structural relaxation.

a b c (Å): 7.0994 8.4618 8.4618
angles (deg): 79.86 65.20 65.20
Closest atoms and distances in Å follow each position.
Fractional coordinates of all 24 atoms:
Zn (0.6046, 0.0841, 0.3318)  2 Pd 2.63-2.68, 7 Zn 2.69-2.95
Zn (0.6046, 0.3318, 0.0841)  2 Pd 2.63-2.68, 7 Zn 2.69-2.95
Zn (0.0636, 0.9159, 0.3318)  2 Pd 2.63-2.68, 7 Zn 2.69-2.95
Zn (0.1454, 0.4159, 0.1682)  2 Pd 2.63-2.68, 7 Zn 2.69-2.95
Pd (0.8750, 0.2500, 0.2500)  10 Zn 2.63-2.86
Ba (0.2500, 0.5000, 0.5000)  18 Zn 3.44-3.55, 4 Pd 3.80
Ba (0.5000, 0.0000, 0.0000)  18 Zn 3.44-3.55, 4 Pd 3.80
Pd (0.8750, 0.2500, 0.7500)  10 Zn 2.63-2.86
Zn (0.0000, 0.0000, 0.0000)  4 Pd 2.86, 8 Zn 2.95
Zn (0.1454, 0.1682, 0.4159)  2 Pd 2.63-2.68, 7 Zn 2.69-2.95
Zn (0.4386, 0.4159, 0.8318)  2 Pd 2.63-2.68, 7 Zn 2.69-2.95
Zn (0.0204, 0.6682, 0.9159)  2 Pd 2.63-2.68, 7 Zn 2.69-2.95
Zn (0.7296, 0.8318, 0.5841)  2 Pd 2.63-2.68, 7 Zn 2.69-2.95
Zn (0.0636, 0.3318, 0.9159)  2 Pd 2.63-2.68, 7 Zn 2.69-2.95
Zn (0.3114, 0.0841, 0.6682)  2 Pd 2.63-2.68, 7 Zn 2.69-2.95
Zn (0.3114, 0.6682, 0.0841)  2 Pd 2.63-2.68, 7 Zn 2.69-2.95
Pd (0.8750, 0.7500, 0.2500)  10 Zn 2.63-2.86
Zn (0.6864, 0.5841, 0.1682)  2 Pd 2.63-2.68, 7 Zn 2.69-2.95
Zn (0.7296, 0.5841, 0.8318)  2 Pd 2.63-2.68, 7 Zn 2.69-2.95
Zn (0.4386, 0.8318, 0.4159)  2 Pd 2.63-2.68, 7 Zn 2.69-2.95
Zn (0.7500, 0.5000, 0.5000)  4 Pd 2.86, 8 Zn 2.95
Zn (0.0204, 0.9159, 0.6682)  2 Pd 2.63-2.68, 7 Zn 2.69-2.95
Zn (0.6864, 0.1682, 0.5841)  2 Pd 2.63-2.68, 7 Zn 2.69-2.95
Pd (0.3750, 0.7500, 0.7500)  10 Zn 2.63-2.86

## Properties
Formation enthalpy at 0 K, meV per atom: -326
Energy, eV per atom: -2.307
ΔE to the lowest computed polymorph, meV/atom: 0


VASP calculation (PBE) on TbCe3Er2Te6 after structural relaxation.

a b c (Å): 7.5691 7.5691 7.7770
angles (deg): 99.33 99.33 120.09
Closest atoms and distances in Å follow each position.
Fractional coordinates of all 12 atoms:
Te (0.2581, 0.2581, 0.7643)  2 Er 3.05, 1 Tb 3.08, 3 Ce 3.16-3.18
Te (0.0794, 0.4158, 0.2378)  2 Er 3.06, 1 Tb 3.09, 3 Ce 3.18
Ce (0.8354, 0.1646, 0.5000)  6 Te 3.18
Te (0.5842, 0.9206, 0.7622)  2 Er 3.06, 1 Tb 3.09, 3 Ce 3.18
Er (0.3329, 0.6671, 0.0000)  6 Te 3.05-3.06
Te (0.4158, 0.0794, 0.2378)  2 Er 3.06, 1 Tb 3.09, 3 Ce 3.18
Tb (0.0000, 0.0000, 0.0000)  6 Te 3.08-3.09
Er (0.6671, 0.3329, 0.0000)  6 Te 3.05-3.06
Ce (0.5000, 0.5000, 0.5000)  6 Te 3.16-3.18
Te (0.9206, 0.5842, 0.7622)  2 Er 3.06, 1 Tb 3.09, 3 Ce 3.18
Ce (0.1646, 0.8354, 0.5000)  6 Te 3.18
Te (0.7419, 0.7419, 0.2357)  2 Er 3.05, 1 Tb 3.08, 3 Ce 3.16-3.18

## Properties
Raw formation energy, eV per atom: -1.321
Energy, eV per atom: -5.521


VASP calculation (PBE) on Sr2Al3ZnAu4 after structural relaxation.

a b c (Å): 4.5683 4.5683 10.4730
angles (deg): 90.00 90.00 90.00
Closest atoms and distances in Å follow each position.
Fractional coordinates of all 10 atoms:
Au (0.5000, 0.0000, 0.6320)  3 Al 2.57-2.67, 2 Zn 2.67
Al (0.0000, 0.0000, 0.5000)  4 Au 2.67
Al (0.0000, 0.5000, 0.1226)  5 Au 2.57-2.62
Au (0.0000, 0.5000, 0.3680)  3 Al 2.57-2.67, 2 Zn 2.67
Sr (0.5000, 0.0000, 0.2501)  8 Au 3.46-3.48, 6 Al 3.47-3.50, 2 Zn 3.47
Sr (0.0000, 0.5000, 0.7499)  8 Au 3.46-3.48, 2 Zn 3.47, 6 Al 3.47-3.50
Zn (0.5000, 0.5000, 0.5000)  4 Au 2.67
Au (0.5000, 0.5000, 0.0000)  4 Al 2.62
Al (0.5000, 0.0000, 0.8774)  5 Au 2.57-2.62
Au (0.0000, 0.0000, 0.0000)  4 Al 2.62

## Properties
Formation enthalpy at 0 K, meV per atom: -607
Energy, eV per atom: -3.505


VASP calculation (PBE) on GaCuI4 after structural relaxation.

a b c (Å): 7.7987 7.7987 9.9683
angles (deg): 90.00 90.00 90.00
Closest atoms and distances in Å follow each position.
Fractional coordinates of all 12 atoms:
Cu (0.0000, 0.0000, 0.5000)  4 I 2.68
I (0.7585, 0.7547, 0.0000)  1 Cu 2.68, 1 Ga 2.74
I (0.7547, 0.7585, 0.5000)  1 Cu 2.68, 1 Ga 2.74
I (0.2415, 0.7547, 0.0000)  1 Cu 2.68, 1 Ga 2.74
I (0.2453, 0.7585, 0.5000)  1 Cu 2.68, 1 Ga 2.74
I (0.2453, 0.2415, 0.5000)  1 Cu 2.68, 1 Ga 2.74
I (0.7547, 0.2415, 0.5000)  1 Cu 2.68, 1 Ga 2.74
I (0.7585, 0.2453, 0.0000)  1 Cu 2.68, 1 Ga 2.74
Ga (0.0000, 0.5000, 0.0000)  4 I 2.74
Cu (0.0000, 0.0000, 0.0000)  4 I 2.68
Ga (0.5000, 0.0000, 0.5000)  4 I 2.74
I (0.2415, 0.2453, 0.0000)  1 Cu 2.68, 1 Ga 2.74

## Properties
Raw formation energy, eV per atom: -0.137
Energy, eV per atom: -2.358


VASP calculation (PBE) on NdErHgAu after structural relaxation.

a b c (Å): 5.2418 5.2418 5.2418
angles (deg): 60.00 60.00 60.00
Closest atoms and distances in Å follow each position.
Fractional coordinates of all 4 atoms:
Er (0.2500, 0.2500, 0.2500)  4 Hg 3.21, 4 Au 3.21
Nd (0.7500, 0.7500, 0.7500)  4 Au 3.21, 4 Hg 3.21
Au (0.5000, 0.5000, 0.5000)  4 Er 3.21, 4 Nd 3.21
Hg (0.0000, 0.0000, 0.0000)  4 Er 3.21, 4 Nd 3.21

## Properties
Formation enthalpy at 0 K, meV per atom: -624
Energy, eV per atom: -3.851
ΔE to the lowest computed polymorph, meV/atom: 25


VASP calculation (PBE) on RbRhSe2 after structural relaxation.

a b c (Å): 7.6995 7.6995 6.7094
angles (deg): 54.99 54.99 90.00
Closest atoms and distances in Å follow each position.
Fractional coordinates of all 8 atoms:
Se (0.7411, 0.1250, 0.2500)  2 Rh 2.39
Se (0.3750, 0.2589, 0.7500)  2 Rh 2.39
Rh (0.0000, 0.0000, 0.0000)  4 Se 2.39
Rb (0.2500, 0.7500, 0.5000)  8 Se 3.55-3.66, 2 Rh 3.92
Se (0.8750, 0.9911, 0.7500)  2 Rh 2.39
Rh (0.7500, 0.2500, 0.5000)  4 Se 2.39
Se (0.0089, 0.6250, 0.2500)  2 Rh 2.39
Rb (0.5000, 0.5000, 0.0000)  8 Se 3.55-3.66, 2 Rh 3.92

## Properties
Raw formation energy, eV per atom: -0.577
Energy, eV per atom: -4.399


VASP calculation (PBE) on SmDy2ZrAs4 after structural relaxation.

a b c (Å): 4.0695 7.0537 7.0448
angles (deg): 109.28 90.00 90.00
Closest atoms and distances in Å follow each position.
Fractional coordinates of all 8 atoms:
Sm (0.5000, 0.5000, 0.0000)  6 As 2.90-2.91
Dy (0.0000, 0.5000, 0.5000)  6 As 2.94
As (0.5000, 0.7620, 0.7579)  2 Zr 2.82, 3 Dy 2.85-2.94, 1 Sm 2.90
Zr (0.0000, 0.0000, 0.0000)  6 As 2.81-2.82
Dy (0.5000, 0.0000, 0.5000)  6 As 2.85-2.86
As (0.0000, 0.2404, 0.7513)  1 Zr 2.81, 3 Dy 2.86-2.94, 2 Sm 2.91
As (0.0000, 0.7596, 0.2487)  1 Zr 2.81, 3 Dy 2.86-2.94, 2 Sm 2.91
As (0.5000, 0.2380, 0.2421)  2 Zr 2.82, 3 Dy 2.85-2.94, 1 Sm 2.90

## Properties
Formation enthalpy at 0 K, meV per atom: -1418
Energy, eV per atom: -6.552


VASP calculation (PBE) on Ac4La4Sm3 after structural relaxation.

a b c (Å): 3.7200 11.9171 11.6922
angles (deg): 120.64 99.15 90.00
Closest atoms and distances in Å follow each position.
Fractional coordinates of all 11 atoms:
La (0.6758, 0.9487, 0.3517)  4 Ac 3.48-3.77, 4 La 3.52-3.72, 2 Sm 3.63
Sm (0.9025, 0.9025, 0.8050)  4 La 3.63, 3 Sm 3.72-3.86, 4 Ac 3.85
Ac (0.5000, 0.2319, 0.0000)  2 La 3.48, 6 Sm 3.70-3.85, 2 Ac 3.72
La (0.6758, 0.4030, 0.3517)  4 Ac 3.48-3.77, 4 La 3.52-3.72, 2 Sm 3.63
Ac (0.1976, 0.6976, 0.3952)  6 La 3.69-3.77, 2 Ac 3.72, 1 Sm 3.91
La (0.3242, 0.0513, 0.6483)  4 Ac 3.48-3.77, 4 La 3.52-3.72, 2 Sm 3.63
Sm (0.0975, 0.0975, 0.1950)  4 La 3.63, 3 Sm 3.72-3.86, 4 Ac 3.85
La (0.3242, 0.5970, 0.6483)  4 Ac 3.48-3.77, 4 La 3.52-3.72, 2 Sm 3.63
Sm (0.0000, 0.5000, 0.0000)  6 Ac 3.70-3.91, 2 Sm 3.72
Ac (0.5000, 0.7681, 0.0000)  2 La 3.48, 6 Sm 3.70-3.85, 2 Ac 3.72
Ac (0.8024, 0.3024, 0.6048)  6 La 3.69-3.77, 2 Ac 3.72, 1 Sm 3.91

## Properties
Formation enthalpy at 0 K, meV per atom: 185
Energy, eV per atom: -4.388


VASP calculation (PBE) on SbTe2Pb after structural relaxation.

a b c (Å): 3.9474 3.9474 9.1212
angles (deg): 90.00 90.00 90.00
Closest atoms and distances in Å follow each position.
Fractional coordinates of all 4 atoms:
Sb (0.5000, 0.5000, 0.7987)  4 Te 3.05
Te (0.5000, 0.5000, 0.3017)  4 Pb 3.17
Pb (0.0000, 0.0000, 0.4665)  4 Te 3.17
Te (0.0000, 0.0000, 0.9330)  4 Sb 3.05

## Properties
Raw formation energy, eV per atom: 0.001
Energy, eV per atom: -3.527


VASP calculation (PBE) on TiTe2HI after structural relaxation.

a b c (Å): 5.3006 5.3006 5.7455
angles (deg): 90.00 90.00 90.00
Closest atoms and distances in Å follow each position.
Fractional coordinates of all 5 atoms:
Te (0.5000, 0.0000, 0.0000)  2 Ti 2.65
Ti (0.0000, 0.0000, 0.0000)  4 Te 2.65, 2 I 2.87
Te (0.0000, 0.5000, 0.0000)  2 Ti 2.65
H (0.5000, 0.5000, 0.5000)  4 I 3.75, 8 Te 3.91
I (0.0000, 0.0000, 0.5000)  2 Ti 2.87

## Properties
Energy, eV per atom: -3.577
ΔE to the lowest computed polymorph, meV/atom: 0


VASP calculation (PBE) on BaLiIBr2 after structural relaxation.

a b c (Å): 5.1667 5.1667 6.7964
angles (deg): 90.00 90.00 90.00
Closest atoms and distances in Å follow each position.
Fractional coordinates of all 5 atoms:
Li (0.0000, 0.0000, 0.0291)  4 Br 2.66, 1 I 2.86
Br (0.0000, 0.5000, 0.9370)  2 Li 2.66
Br (0.5000, 0.0000, 0.9370)  2 Li 2.66
Ba (0.5000, 0.5000, 0.6464)  4 Br 3.25
I (0.0000, 0.0000, 0.4506)  1 Li 2.86

## Properties
Raw formation energy, eV per atom: -1.753
Energy, eV per atom: -3.499